No. 1
Here is a relaxed structure of TmInPdPt from the Alexandria database. Energies are from PBE-GGA.

## Properties
DOS at the Fermi energy ... 2.890 states/eV per cell
Calculated formation energy ... -0.919 eV/atom
VASP energy ... -5.5298 eV/atom
Magnetic moment ... 0.00 μB per cell

Cell: 4.7636 4.7636 4.7636 Å, 60.00 60.00 60.00°
Closest atoms and distances in Å follow each position.
Fractional positions:
Tm 0.0000 0.0000 0.0000  4 Pd 2.92, 4 Pt 2.92
In 0.5000 0.5000 0.5000  4 Pd 2.92, 4 Pt 2.92
Pt 0.7500 0.7500 0.7500  4 In 2.92, 4 Tm 2.92
Pd 0.2500 0.2500 0.2500  4 In 2.92, 4 Tm 2.92


No. 2
Here is a relaxed structure of Nd2HoH from the Alexandria database. Energies are from PBE-GGA.

## Properties
DOS at the Fermi energy ... 2.967 states/eV per cell
VASP energy ... -4.5120 eV/atom
Offset from the most stable computed form ... 0.000 eV per formula unit
Magnetic moment ... 0.00 μB per cell

Cell: 3.6793 3.6793 9.0261 Å, 78.24 78.24 60.00°
Closest atoms and distances in Å follow each position.
Fractional positions:
Ho 0.5000 0.5000 0.5000  6 Nd 3.61, 6 Ho 3.68
Nd 0.2774 0.2774 0.1678  3 H 2.58
Nd 0.7226 0.7226 0.8322  3 H 2.58
H 0.0000 0.0000 0.0000  6 Nd 2.58


No. 3
Here is a relaxed structure of HfNb2AgN from the Alexandria database. Energies are from PBE-GGA.

## Properties
DOS at the Fermi energy ... 5.074 states/eV per cell
Formation energy from raw total energies ... 1.73 eV per atom
VASP energy ... -6.5202 eV/atom
Magnetic moment ... 0.00 μB per cell

Cell: 5.1569 3.7353 5.1569 Å, 90.00 90.00 90.00°
Closest atoms and distances in Å follow each position.
Fractional positions:
Nb 0.5000 0.0000 0.0000  2 Ag 2.58
N 0.0000 0.5000 0.0000  2 Ag 1.87
Ag 0.0000 0.0000 0.0000  2 N 1.87
Hf 0.5000 0.5000 0.5000  8 Nb 3.18
Nb 0.0000 0.0000 0.5000  2 Ag 2.58


No. 4
Here is a relaxed structure of Gd2HoGe from the Alexandria database. Energies are from PBE-GGA.

## Properties
DOS at the Fermi energy ... 4.625 states/eV per cell
Calculated formation energy ... -0.324 eV/atom
VASP energy ... -9.6630 eV/atom
Offset from the most stable computed form ... 0.090 eV per formula unit
Magnetic moment ... 14.82 μB per cell

Cell: 3.9949 3.9949 6.7240 Å, 90.00 90.00 90.00°
Closest atoms and distances in Å follow each position.
Fractional positions:
Gd 0.0000 0.0000 0.2159  1 Gd 2.90, 4 Ge 3.18
Ge 0.5000 0.5000 0.0000  8 Gd 3.18, 2 Ho 3.36
Ho 0.5000 0.5000 0.5000  2 Ge 3.36, 8 Gd 3.41
Gd 0.0000 0.0000 0.7841  1 Gd 2.90, 4 Ge 3.18


No. 5
Here is a relaxed structure of BaSrRu2 from the Alexandria database. Energies are from PBE-GGA.

## Properties
DOS at the Fermi energy ... 5.328 states/eV per cell
Calculated formation energy ... 0.779 eV/atom
VASP energy ... -4.7598 eV/atom
Offset from the most stable computed form ... 2.381 eV per formula unit
Magnetic moment ... 2.98 μB per cell

Cell: 4.0754 4.0754 6.8665 Å, 90.00 90.00 90.00°
Closest atoms and distances in Å follow each position.
Fractional positions:
Ru 0.0000 0.0000 0.0731  1 Ru 2.43
Ba 0.5000 0.5000 0.7500  2 Sr 3.43, 8 Ru 3.64
Ru 0.0000 0.0000 0.4269  1 Ru 2.43
Sr 0.5000 0.5000 0.2500  8 Ru 3.13, 2 Ba 3.43


No. 6
Here is a relaxed structure of K3CdI5 from the Alexandria database. Energies are from PBE-GGA.

## Properties
DOS at the Fermi energy ... 0.000 states/eV per cell
Formation energy from raw total energies ... -1.15 eV per atom
VASP energy ... -2.4773 eV/atom
Magnetic moment ... 0.01 μB per cell

Cell: 9.5939 9.5939 10.9540 Å, 115.97 115.97 90.00°
Closest atoms and distances in Å follow each position.
Fractional positions:
I 0.4866 0.3049 0.2916  1 Cd 2.81
I 0.8049 0.9866 0.2916  1 Cd 2.81
I 0.0000 0.0000 0.0000  4 K 3.63
K 0.3444 0.8444 0.0000  8 I 3.55-3.93
I 0.6951 0.1951 0.7084  1 Cd 2.81
K 0.8444 0.6556 0.0000  8 I 3.55-3.93
Cd 0.7500 0.2500 0.5000  4 I 2.81
I 0.5000 0.5000 0.0000  4 K 3.63
I 0.0134 0.5134 0.7084  1 Cd 2.81
I 0.5134 0.6951 0.7084  1 Cd 2.81
I 0.3049 0.8049 0.2916  1 Cd 2.81
I 0.9866 0.4866 0.2916  1 Cd 2.81
I 0.1951 0.0134 0.7084  1 Cd 2.81
K 0.6556 0.1556 0.0000  8 I 3.55-3.93
K 0.2500 0.2500 0.5000  10 I 4.03-4.30
K 0.1556 0.3444 0.0000  8 I 3.55-3.93
Cd 0.2500 0.7500 0.5000  4 I 2.81
K 0.7500 0.7500 0.5000  10 I 4.03-4.30


No. 7
Here is a relaxed structure of Zr2AuSe from the Alexandria database. Energies are from PBE-GGA.

## Properties
DOS at the Fermi energy ... 3.348 states/eV per cell
Formation energy from raw total energies ... -0.73 eV per atom
VASP energy ... -6.6947 eV/atom
Magnetic moment ... 0.00 μB per cell

Cell: 6.9645 6.9645 6.9645 Å, 32.34 32.34 32.34°
Closest atoms and distances in Å follow each position.
Fractional positions:
Se 0.7500 0.7500 0.7500  6 Zr 2.73
Au 0.2500 0.2500 0.2500  6 Zr 2.83
Zr 0.0045 0.0045 0.0045  3 Se 2.73, 3 Au 2.83
Zr 0.4955 0.4955 0.4955  3 Se 2.73, 3 Au 2.83


No. 8
Here is a relaxed structure of TaSiHgMo2 from the Alexandria database. Energies are from PBE-GGA.

## Properties
DOS at the Fermi energy ... 7.922 states/eV per cell
Formation energy from raw total energies ... 0.92 eV per atom
VASP energy ... -6.9267 eV/atom
Magnetic moment ... 0.00 μB per cell

Cell: 4.5134 4.7088 4.5134 Å, 90.00 90.00 90.00°
Closest atoms and distances in Å follow each position.
Fractional positions:
Mo 0.5000 0.0000 0.0000  2 Si 2.26
Ta 0.0000 0.5000 0.0000  2 Si 2.35
Mo 0.0000 0.0000 0.5000  2 Si 2.26
Si 0.0000 0.0000 0.0000  4 Mo 2.26, 2 Ta 2.35
Hg 0.5000 0.5000 0.5000  4 Ta 3.19, 8 Mo 3.26


No. 9
Here is a relaxed structure of Pr2DyAl from the Alexandria database. Energies are from PBE-GGA.

## Properties
DOS at the Fermi energy ... 8.057 states/eV per cell
Calculated formation energy ... -0.170 eV/atom
VASP energy ... -4.6460 eV/atom
Offset from the most stable computed form ... 0.000 eV per formula unit
Magnetic moment ... 0.00 μB per cell

Cell: 5.3795 7.0884 7.0884 Å, 120.32 90.00 90.00°
Closest atoms and distances in Å follow each position.
Fractional positions:
Pr 0.0000 0.8214 0.1786  4 Al 3.31-3.53, 2 Pr 3.31, 4 Dy 3.47
Pr 0.5000 0.1770 0.8230  2 Dy 3.33, 4 Al 3.34-3.53, 4 Pr 3.47
Al 0.5000 0.6648 0.3352  8 Pr 3.29-3.53, 4 Dy 3.51-3.58
Pr 0.0000 0.8189 0.6447  4 Pr 3.27-3.47, 4 Al 3.29-3.62, 2 Dy 3.44
Al 0.0000 0.3380 0.6620  4 Dy 3.28, 8 Pr 3.34-3.62
Pr 0.0000 0.3553 0.1811  4 Pr 3.27-3.47, 4 Al 3.29-3.62, 2 Dy 3.44
Dy 0.5000 0.1792 0.3544  4 Al 3.28-3.58, 1 Dy 3.29, 5 Pr 3.33-3.47
Dy 0.5000 0.6456 0.8208  4 Al 3.28-3.58, 1 Dy 3.29, 5 Pr 3.33-3.47


No. 10
Here is a relaxed structure of K2LaIO6 from the Alexandria database. Energies are from PBE-GGA.

## Properties
DOS at the Fermi energy ... 0.000 states/eV per cell
Formation energy from raw total energies ... -1.70 eV per atom
VASP energy ... -5.5374 eV/atom
Magnetic moment ... 0.00 μB per cell

Cell: 6.0550 6.0549 6.0547 Å, 60.01 60.02 60.01°
Closest atoms and distances in Å follow each position.
Fractional positions:
O 0.0930 0.5393 0.2745  1 I 1.91
O 0.5394 0.0931 0.8284  1 I 1.91
K 0.5661 0.5661 0.3017  12 O 3.04
K 0.0661 0.0661 0.8016  12 O 3.04
La 0.8161 0.8161 0.5516  6 O 2.37
O 0.5391 0.5393 0.8284  1 I 1.91
O 0.5393 0.0931 0.2745  1 I 1.91
O 0.0931 0.5391 0.8284  1 I 1.91
I 0.3162 0.3162 0.0515  6 O 1.91
O 0.0932 0.0931 0.2745  1 I 1.91


No. 11
Here is a relaxed structure of EuYTl from the Alexandria database. Energies are from PBE-GGA.

## Properties
DOS at the Fermi energy ... 2.286 states/eV per cell
Calculated formation energy ... -0.174 eV/atom
VASP energy ... -6.5418 eV/atom
Offset from the most stable computed form ... 0.144 eV per formula unit
Magnetic moment ... 7.17 μB per cell

Cell: 3.7913 5.3887 5.3887 Å, 120.00 90.00 90.00°
Closest atoms and distances in Å follow each position.
Fractional positions:
Tl 0.4081 0.6667 0.3333  3 Y 3.17, 3 Eu 3.44
Eu 0.0224 0.0000 0.0000  3 Tl 3.44, 6 Y 3.55-3.74, 2 Eu 3.79
Y 0.5695 0.3333 0.6667  3 Tl 3.17


No. 12
Here is a relaxed structure of K2TcBr from the Alexandria database. Energies are from PBE-GGA.

## Properties
DOS at the Fermi energy ... 6.489 states/eV per cell
Formation energy from raw total energies ... 0.54 eV per atom
VASP energy ... -3.0158 eV/atom
Offset from the most stable computed form ... 0.872 eV per formula unit
Magnetic moment ... 4.03 μB per cell

Cell: 12.1400 12.1400 8.9060 Å, 47.03 47.03 90.00°
Closest atoms and distances in Å follow each position.
Fractional positions:
K 0.3005 0.6250 0.2500  2 Br 3.22
K 0.8750 0.6995 0.7500  2 Br 3.22
K 0.4495 0.1250 0.2500  2 Br 3.22
K 0.3750 0.5505 0.7500  2 Br 3.22
Br 0.2500 0.7500 0.5000  2 Tc 2.37
Tc 0.0000 0.0000 0.0000  2 Br 2.37
Br 0.5000 0.5000 0.0000  2 Tc 2.37
Tc 0.7500 0.2500 0.5000  2 Br 2.37